Computed, not measured: a relaxed AcCe2Pb4 crystal at the GGA-PBE level of DFT.

Values from the calculation:
Formation energy from the elements in kJ/mol of formula units: -107
Size of the total moment in μB/atom: 0.303
Symmetry: I4/mmm (139)
Total DFT energy (no corrections) in eV per atom: -4.5598

Cell and atoms, written as extended XYZ:
```
7
Lattice="-3.154 3.154 6.243 3.154 -3.154 6.243 3.154 3.154 -6.243" Properties=species:S:1:pos:R:3 pbc="T T T"
Ac 0.000 0.000 0.000
Ce 0.000 0.000 4.495
Ce 0.000 0.000 7.990
Pb 3.154 0.000 0.000
Pb 3.154 0.000 3.121
Pb 0.000 3.154 0.000
Pb 0.000 3.154 3.121
```

Computed, not measured: a relaxed AcCe2Pb crystal at the GGA-PBE level of DFT.

Values from the calculation:
Formation energy from the elements in kJ/mol of formula units: -71
Size of the total moment in μB/atom: 0.542
Symmetry: P4/mmm (123)
Energy above the lowest structure with this stoichiometry in eV per atom: 0.000
Total DFT energy (no corrections) in eV per atom: -5.1046

Cell and atoms, written as extended XYZ:
```
4
Lattice="5.001 0.000 0.000 0.000 5.001 0.000 0.000 0.000 5.084" Properties=species:S:1:pos:R:3 pbc="T T T"
Ac 0.000 0.000 0.000
Ce 0.000 2.500 2.542
Ce 2.500 0.000 2.542
Pb 2.500 2.500 0.000
```

Computed, not measured: a relaxed AcCe2Pb crystal at the GGA-PBE level of DFT.

Values from the calculation:
Formation energy from the elements in kJ/mol of formula units: -68
Size of the total moment in μB/atom: 0.487
Symmetry: P4/mmm (123)
Energy above the lowest structure with this stoichiometry in eV per atom: 0.007
Total DFT energy (no corrections) in eV per atom: -5.0977

Cell and atoms, written as extended XYZ:
```
4
Lattice="4.279 0.000 0.000 0.000 4.279 0.000 0.000 0.000 7.312" Properties=species:S:1:pos:R:3 pbc="T T T"
Ac 0.000 0.000 0.000
Ce 2.140 2.140 2.278
Ce 2.140 2.140 5.033
Pb 0.000 0.000 3.656
```

Computed, not measured: a relaxed Ac3Ce2Pb6 crystal at the GGA-PBE level of DFT.

Values from the calculation:
Formation energy from the elements in kJ/mol of formula units: -204
Size of the total moment in μB/atom: 0.115
Symmetry: I4/mmm (139)
Total DFT energy (no corrections) in eV per atom: -4.4146

Cell and atoms, written as extended XYZ:
```
11
Lattice="-2.582 2.582 14.445 2.582 -2.582 14.445 2.582 2.582 -14.445" Properties=species:S:1:pos:R:3 pbc="T T T"
Ac 0.000 0.000 0.000
Ac 0.000 0.000 5.638
Ac 0.000 0.000 23.251
Ce 0.000 0.000 13.171
Ce 0.000 0.000 15.719
Pb 2.582 0.000 3.210
Pb 0.000 0.000 9.000
Pb 2.582 0.000 11.235
Pb 0.000 2.582 3.210
Pb 0.000 0.000 19.890
Pb 0.000 2.582 11.235
```

Computed, not measured: a relaxed AcCePb crystal at the GGA-PBE level of DFT.

Values from the calculation:
Formation energy from the elements in kJ/mol of formula units: 78
Size of the total moment in μB/atom: 0.473
Symmetry: I4mm (107)
Energy above the lowest structure with this stoichiometry in eV per atom: 0.654
Total DFT energy (no corrections) in eV per atom: -4.3144

Cell and atoms, written as extended XYZ:
```
3
Lattice="-1.750 1.750 8.942 1.750 -1.750 8.942 1.750 1.750 -8.942" Properties=species:S:1:pos:R:3 pbc="T T T"
Ac 0.000 0.000 0.000
Ce 0.000 0.000 14.699
Pb 0.000 0.000 3.370
```

Computed, not measured: a relaxed Ac2CePb crystal at the GGA-PBE level of DFT.

Values from the calculation:
Formation energy from the elements in kJ/mol of formula units: 63
Size of the total moment in μB/atom: 0.368
Symmetry: R-3m (166)
Energy above the lowest structure with this stoichiometry in eV per atom: 0.349
Total DFT energy (no corrections) in eV per atom: -4.3020

Cell and atoms, written as extended XYZ:
```
4
Lattice="1.847 1.066 12.820 -1.847 1.066 12.820 0.000 -2.133 12.820" Properties=species:S:1:pos:R:3 pbc="T T T"
Ac 0.000 0.000 3.513
Ac 0.000 0.000 34.948
Ce 0.000 0.000 0.000
Pb 0.000 0.000 19.230
```

Computed, not measured: a relaxed AcCePb crystal at the GGA-PBE level of DFT.

Values from the calculation:
Formation energy from the elements in kJ/mol of formula units: -17
Size of the total moment in μB/atom: 0.525
Symmetry: Pmma (51)
Energy above the lowest structure with this stoichiometry in eV per atom: 0.325
Total DFT energy (no corrections) in eV per atom: -4.6437

Cell and atoms, written as extended XYZ:
```
6
Lattice="6.684 0.000 0.000 0.000 3.600 0.000 0.000 0.000 8.747" Properties=species:S:1:pos:R:3 pbc="T T T"
Ac 0.000 0.000 0.000
Ac 3.342 0.000 0.000
Ce 1.671 0.000 3.304
Ce 5.013 0.000 5.443
Pb 1.671 1.800 6.109
Pb 5.013 1.800 2.638
```

Computed, not measured: a relaxed AcCePb crystal at the GGA-PBE level of DFT.

Values from the calculation:
Formation energy from the elements in kJ/mol of formula units: 5
Size of the total moment in μB/atom: 0.445
Symmetry: P3m1 (156)
Energy above the lowest structure with this stoichiometry in eV per atom: 0.400
Total DFT energy (no corrections) in eV per atom: -4.5680

Cell and atoms, written as extended XYZ:
```
3
Lattice="5.653 0.000 0.000 -2.827 4.896 0.000 0.000 0.000 3.471" Properties=species:S:1:pos:R:3 pbc="T T T"
Ac 0.000 0.000 0.000
Ce 0.000 3.264 3.459
Pb 2.827 1.632 1.729
```

Computed, not measured: a relaxed Ac2CePb3 crystal at the GGA-PBE level of DFT.

Values from the calculation:
Formation energy from the elements in kJ/mol of formula units: -255
Size of the total moment in μB/atom: 0.264
Symmetry: Cmmm (65)
Energy above the lowest structure with this stoichiometry in eV per atom: 0.000
Total DFT energy (no corrections) in eV per atom: -4.6523

Cell and atoms, written as extended XYZ:
```
12
Lattice="2.683 -8.074 0.000 2.683 8.074 0.000 0.000 0.000 9.329" Properties=species:S:1:pos:R:3 pbc="T T T"
Ac 0.000 0.000 0.000
Ac 0.000 0.000 4.664
Ac 2.683 2.675 0.000
Ac 2.683 -2.675 0.000
Ce 2.683 2.745 4.664
Ce 2.683 -2.745 4.664
Pb 2.683 5.331 2.403
Pb 2.683 5.331 6.925
Pb 2.683 0.000 2.394
Pb 2.683 0.000 6.935
Pb 2.683 -5.331 2.403
Pb 2.683 -5.331 6.925
```

Computed, not measured: a relaxed AcCePb6 crystal at the GGA-PBE level of DFT.

Values from the calculation:
Formation energy from the elements in kJ/mol of formula units: -290
Size of the total moment in μB/atom: 0.142
Symmetry: P4/mmm (123)
Total DFT energy (no corrections) in eV per atom: -4.4122

Cell and atoms, written as extended XYZ:
```
8
Lattice="4.994 0.000 0.000 0.000 4.994 0.000 0.000 0.000 9.972" Properties=species:S:1:pos:R:3 pbc="T T T"
Ac 0.000 0.000 0.000
Ce 0.000 0.000 4.986
Pb 0.000 2.497 2.579
Pb 0.000 2.497 7.393
Pb 2.497 0.000 2.579
Pb 2.497 0.000 7.393
Pb 2.497 2.497 0.000
Pb 2.497 2.497 4.986
```

Computed, not measured: a relaxed Ac3CePb4 crystal at the GGA-PBE level of DFT.

Values from the calculation:
Formation energy from the elements in kJ/mol of formula units: -311
Size of the total moment in μB/atom: 0.159
Symmetry: Pmn2_1 (31)
Energy above the lowest structure with this stoichiometry in eV per atom: 0.044
Total DFT energy (no corrections) in eV per atom: -4.5391

Cell and atoms, written as extended XYZ:
```
16
Lattice="11.854 0.000 0.000 0.000 6.886 0.000 0.000 0.000 6.883" Properties=species:S:1:pos:R:3 pbc="T T T"
Ac 0.000 0.160 0.000
Ac 2.948 1.812 4.922
Ac 2.979 5.074 1.480
Ac 5.927 6.726 3.441
Ac 8.875 5.074 1.480
Ac 8.906 1.812 4.922
Ce 0.000 3.510 3.296
Ce 5.927 3.376 6.738
Pb 0.000 0.024 3.380
Pb 0.000 3.544 6.726
Pb 2.697 5.234 4.912
Pb 3.230 1.652 1.471
Pb 5.927 3.343 3.284
Pb 5.927 6.862 6.822
Pb 8.624 1.652 1.471
Pb 9.157 5.234 4.912
```

Computed, not measured: a relaxed Ac3Ce2Pb3 crystal at the GGA-PBE level of DFT.

Values from the calculation:
Formation energy from the elements in kJ/mol of formula units: -338
Size of the total moment in μB/atom: 0.488
Symmetry: P6_3/mcm (193)
Energy above the lowest structure with this stoichiometry in eV per atom: 0.000
Total DFT energy (no corrections) in eV per atom: -4.8533

Cell and atoms, written as extended XYZ:
```
16
Lattice="9.884 0.000 0.000 -4.942 8.560 0.000 0.000 0.000 6.811" Properties=species:S:1:pos:R:3 pbc="T T T"
Ac -1.240 2.148 1.703
Ac -3.702 6.412 5.108
Ac 2.481 0.000 1.703
Ac 1.240 2.148 5.108
Ac 7.404 0.000 5.108
Ac 3.702 6.412 1.703
Ce 0.000 5.707 0.000
Ce 0.000 5.707 3.406
Ce 4.942 2.853 0.000
Ce 4.942 2.853 3.406
Pb -1.961 3.396 5.108
Pb -2.981 5.164 1.703
Pb 3.922 0.000 5.108
Pb 1.961 3.396 1.703
Pb 5.963 0.000 1.703
Pb 2.981 5.164 5.108
```

Computed, not measured: a relaxed Ac2CePb crystal at the GGA-PBE level of DFT.

Values from the calculation:
Formation energy from the elements in kJ/mol of formula units: 1
Size of the total moment in μB/atom: 0.218
Symmetry: Fm-3m (225)
Energy above the lowest structure with this stoichiometry in eV per atom: 0.189
Total DFT energy (no corrections) in eV per atom: -4.4623

Cell and atoms, written as extended XYZ:
```
4
Lattice="0.000 4.176 4.176 4.176 0.000 4.176 4.176 4.176 0.000" Properties=species:S:1:pos:R:3 pbc="T T T"
Ac 2.088 2.088 2.088
Ac 6.264 6.264 6.264
Ce 0.000 0.000 0.000
Pb 4.176 4.176 4.176
```

Computed, not measured: a relaxed Ac5CePb4 crystal at the GGA-PBE level of DFT.

Values from the calculation:
Formation energy from the elements in kJ/mol of formula units: -316
Size of the total moment in μB/atom: 0.160
Symmetry: C2/m (12)
Total DFT energy (no corrections) in eV per atom: -4.4588

Cell and atoms, written as extended XYZ:
```
10
Lattice="8.890 -2.888 0.000 8.890 2.888 0.000 -0.109 0.000 7.802" Properties=species:S:1:pos:R:3 pbc="T T T"
Ac 0.000 0.000 0.000
Ac 5.882 0.000 3.855
Ac 5.961 0.000 0.029
Ac 11.711 0.000 7.773
Ac 11.789 0.000 3.947
Ce -0.055 0.000 3.901
Pb 3.000 0.000 5.837
Pb 8.672 0.000 5.781
Pb 8.999 0.000 2.021
Pb 14.671 0.000 1.965
```

Computed, not measured: a relaxed Ac2CePb crystal at the GGA-PBE level of DFT.

Values from the calculation:
Formation energy from the elements in kJ/mol of formula units: -49
Size of the total moment in μB/atom: 0.400
Symmetry: P4/mmm (123)
Energy above the lowest structure with this stoichiometry in eV per atom: 0.059
Total DFT energy (no corrections) in eV per atom: -4.5924

Cell and atoms, written as extended XYZ:
```
4
Lattice="4.432 0.000 0.000 0.000 4.432 0.000 0.000 0.000 7.481" Properties=species:S:1:pos:R:3 pbc="T T T"
Ac 0.000 0.000 1.745
Ac 0.000 0.000 5.736
Ce 2.216 2.216 3.741
Pb 2.216 2.216 0.000
```

Computed, not measured: a relaxed AcCe2Pb crystal at the GGA-PBE level of DFT.

Values from the calculation:
Formation energy from the elements in kJ/mol of formula units: -3
Size of the total moment in μB/atom: 0.716
Symmetry: Fm-3m (225)
Energy above the lowest structure with this stoichiometry in eV per atom: 0.176
Total DFT energy (no corrections) in eV per atom: -4.9282

Cell and atoms, written as extended XYZ:
```
4
Lattice="0.000 4.003 4.003 4.003 0.000 4.003 4.003 4.003 0.000" Properties=species:S:1:pos:R:3 pbc="T T T"
Ac 0.000 0.000 0.000
Ce 2.001 2.001 2.001
Ce 6.004 6.004 6.004
Pb 4.003 4.003 4.003
```

Computed, not measured: a relaxed Ac3CePb4 crystal at the GGA-PBE level of DFT.

Values from the calculation:
Formation energy from the elements in kJ/mol of formula units: -345
Size of the total moment in μB/atom: 0.270
Symmetry: P4/mmm (123)
Energy above the lowest structure with this stoichiometry in eV per atom: 0.000
Total DFT energy (no corrections) in eV per atom: -4.5831

Cell and atoms, written as extended XYZ:
```
8
Lattice="4.324 0.000 0.000 0.000 4.324 0.000 0.000 0.000 14.742" Properties=species:S:1:pos:R:3 pbc="T T T"
Ac 0.000 0.000 0.000
Ac 0.000 0.000 3.821
Ac 0.000 0.000 10.921
Ce 0.000 0.000 7.371
Pb 2.162 2.162 1.896
Pb 2.162 2.162 5.727
Pb 2.162 2.162 9.015
Pb 2.162 2.162 12.847
```

Computed, not measured: a relaxed AcCePb crystal at the GGA-PBE level of DFT.

Values from the calculation:
Formation energy from the elements in kJ/mol of formula units: -111
Size of the total moment in μB/atom: 0.451
Symmetry: C2/m (12)
Energy above the lowest structure with this stoichiometry in eV per atom: 0.000
Total DFT energy (no corrections) in eV per atom: -4.9683

Cell and atoms, written as extended XYZ:
```
6
Lattice="3.363 -3.336 0.000 3.363 3.336 0.000 -0.222 0.000 9.351" Properties=species:S:1:pos:R:3 pbc="T T T"
Ac 1.586 0.000 3.338
Ac 4.917 0.000 6.014
Ce 3.363 1.916 0.000
Ce 3.363 -1.916 0.000
Pb 1.605 0.000 6.950
Pb 4.898 0.000 2.401
```

Computed, not measured: a relaxed AcCe5Pb3 crystal at the GGA-PBE level of DFT.

Values from the calculation:
Formation energy from the elements in kJ/mol of formula units: -260
Size of the total moment in μB/atom: 0.946
Symmetry: P6_3/mcm (193)
Total DFT energy (no corrections) in eV per atom: -5.2887

Cell and atoms, written as extended XYZ:
```
18
Lattice="9.746 0.000 0.000 -4.873 8.440 0.000 0.000 0.000 6.837" Properties=species:S:1:pos:R:3 pbc="T T T"
Ac 0.000 0.000 0.000
Ac 0.000 0.000 3.418
Ce -1.648 2.855 1.709
Ce -3.225 5.585 5.128
Ce 0.000 5.627 0.000
Ce 0.000 5.627 3.418
Ce 3.296 0.000 1.709
Ce 1.648 2.855 5.128
Ce 6.449 0.000 5.128
Ce 3.225 5.585 1.709
Ce 4.873 2.813 0.000
Ce 4.873 2.813 3.418
Pb -1.633 2.828 5.128
Pb -3.240 5.612 1.709
Pb 3.265 0.000 5.128
Pb 1.633 2.828 1.709
Pb 6.480 0.000 1.709
Pb 3.240 5.612 5.128
```

Computed, not measured: a relaxed Ac2Ce2Pb3 crystal at the GGA-PBE level of DFT.

Values from the calculation:
Formation energy from the elements in kJ/mol of formula units: -242
Size of the total moment in μB/atom: 0.282
Symmetry: Cmmm (65)
Energy above the lowest structure with this stoichiometry in eV per atom: 0.000
Total DFT energy (no corrections) in eV per atom: -4.8163

Cell and atoms, written as extended XYZ:
```
7
Lattice="2.332 -13.062 0.000 2.332 13.062 0.000 0.000 0.000 3.734" Properties=species:S:1:pos:R:3 pbc="T T T"
Ac 2.332 11.057 0.000
Ac 2.332 -11.057 0.000
Ce 2.332 7.343 0.000
Ce 2.332 -7.343 0.000
Pb 2.332 4.208 1.867
Pb 2.332 0.000 1.867
Pb 2.332 -4.208 1.867
```